Entry 1:
Material: Rb2Ba6Ir
Method: DFT, PBE
State: optimized geometry

a b c (Å): 8.9744 8.9744 23.7076
angles (deg): 90.00 90.00 120.00
Space group R3m (No. 160, hexagonal axes)
Inequivalent atoms, fractional coordinates:
Rb 0.0000 0.0000 0.0000 (multiplicity 3)
Rb 0.0000 0.0000 0.1694 (multiplicity 3)
Ba 0.1757 0.3514 0.4937 (multiplicity 9)
Ba 0.1772 0.3544 0.3273 (multiplicity 9)
Ir 0.0000 0.0000 0.7443 (multiplicity 3)

Values from the calculation:
formation energy: 0.05 eV/atom
total moment: 0.00 μB per formula unit

***

Entry 2:
Material: Sm3Y2Mg2
Method: DFT, PBE
State: optimized geometry

a b c (Å): 3.7824 31.2871 3.6630
angles (deg): 90.00 90.00 90.00
Space group Cmmm (No. 65)
Inequivalent atoms, fractional coordinates:
Sm 0.0000 0.0000 0.0000 (multiplicity 2)
Sm 0.0000 0.4197 0.5000 (multiplicity 4)
Y 0.0000 0.2959 0.5000 (multiplicity 4)
Mg 0.0000 0.1434 0.0000 (multiplicity 4)

Values from the calculation:
formation energy: 0.04 eV/atom
total moment: 0.29 μB per formula unit

***

Which of these has the lowest total moment?
Rb2Ba6Ir

***

Number 2 is which compound?
Sm3Y2Mg2

***

Among the records above, which one has the lowest formation energy?
Sm3Y2Mg2